a.
A geometry-optimized LiAs2Au2 structure. Source: Alexandria via LeMat-Bulk, functional PBE.

```
data_LiAs2Au2
_symmetry_space_group_name_H-M 'P 1'
_symmetry_Int_Tables_number 1
_cell_length_a 4.4600
_cell_length_b 4.4600
_cell_length_c 6.2238
_cell_angle_alpha 69.00
_cell_angle_beta 69.00
_cell_angle_gamma 90.00
loop_
_symmetry_equiv_pos_as_xyz
'x,y,z'
loop_
_atom_site_label
_atom_site_type_symbol
_atom_site_fract_x
_atom_site_fract_y
_atom_site_fract_z
_atom_site_occupancy
Au1 Au 0.7500 0.2500 0.5000 1
Au2 Au 0.2500 0.7500 0.5000 1
As1 As 0.3863 0.3863 0.2275 1
As2 As 0.6137 0.6137 0.7725 1
Li1 Li 0.0000 0.0000 0.0000 1
```

Calculated values
- space group = I4/mmm, No. 139
- D(E_F) (states/eV/atom) = 0.30

***

b.
A geometry-optimized LiAs2Au2 structure. Source: Alexandria via LeMat-Bulk, functional PBE.

```
data_LiAs2Au2
_symmetry_space_group_name_H-M 'P 1'
_symmetry_Int_Tables_number 1
_cell_length_a 7.2470
_cell_length_b 7.2470
_cell_length_c 3.6410
_cell_angle_alpha 90.00
_cell_angle_beta 90.00
_cell_angle_gamma 90.00
loop_
_symmetry_equiv_pos_as_xyz
'x,y,z'
loop_
_atom_site_label
_atom_site_type_symbol
_atom_site_fract_x
_atom_site_fract_y
_atom_site_fract_z
_atom_site_occupancy
As1 As 0.1697 0.6697 0.5000 1
Au1 Au 0.8586 0.6414 0.0000 1
Au2 Au 0.1414 0.3586 0.0000 1
As2 As 0.6697 0.8303 0.5000 1
Li1 Li 0.5000 0.5000 0.0000 1
Au3 Au 0.3586 0.8586 0.0000 1
As3 As 0.3303 0.1697 0.5000 1
As4 As 0.8303 0.3303 0.5000 1
Li2 Li 0.0000 0.0000 0.0000 1
Au4 Au 0.6414 0.1414 0.0000 1
```

Calculated values
- space group = P4/mbm, No. 127
- D(E_F) (states/eV/atom) = 0.41

***

Which structure is the most stable? The one labeled a.

***

a.
A geometry-optimized MgAs2Au2 structure. Source: Alexandria via LeMat-Bulk, functional PBE.

```
data_MgAs2Au2
_symmetry_space_group_name_H-M 'P 1'
_symmetry_Int_Tables_number 1
_cell_length_a 7.3305
_cell_length_b 7.3305
_cell_length_c 3.7331
_cell_angle_alpha 90.00
_cell_angle_beta 90.00
_cell_angle_gamma 90.00
loop_
_symmetry_equiv_pos_as_xyz
'x,y,z'
loop_
_atom_site_label
_atom_site_type_symbol
_atom_site_fract_x
_atom_site_fract_y
_atom_site_fract_z
_atom_site_occupancy
Mg1 Mg 0.5000 0.5000 0.0000 1
As1 As 0.6715 0.1715 0.0000 1
Au1 Au 0.6406 0.8594 0.5000 1
As2 As 0.8285 0.6715 0.0000 1
Mg2 Mg 0.0000 0.0000 0.0000 1
Au2 Au 0.3594 0.1406 0.5000 1
As3 As 0.1715 0.3285 0.0000 1
Au3 Au 0.1406 0.6406 0.5000 1
Au4 Au 0.8594 0.3594 0.5000 1
As4 As 0.3285 0.8285 0.0000 1
```

Calculated values
- space group = P4/mbm, No. 127
- D(E_F) (states/eV/atom) = 0.42

***

b.
A geometry-optimized MgAs2Au2 structure. Source: Alexandria via LeMat-Bulk, functional PBE.

```
data_MgAs2Au2
_symmetry_space_group_name_H-M 'P 1'
_symmetry_Int_Tables_number 1
_cell_length_a 7.2863
_cell_length_b 7.2863
_cell_length_c 3.7260
_cell_angle_alpha 90.00
_cell_angle_beta 90.00
_cell_angle_gamma 90.00
loop_
_symmetry_equiv_pos_as_xyz
'x,y,z'
loop_
_atom_site_label
_atom_site_type_symbol
_atom_site_fract_x
_atom_site_fract_y
_atom_site_fract_z
_atom_site_occupancy
Au1 Au 0.6364 0.1364 0.0000 1
Au2 Au 0.3636 0.8636 0.0000 1
As1 As 0.3236 0.1764 0.5000 1
As2 As 0.6764 0.8236 0.5000 1
Au3 Au 0.8636 0.6364 0.0000 1
Mg1 Mg 0.0000 0.0000 0.0000 1
As3 As 0.8236 0.3236 0.5000 1
As4 As 0.1764 0.6764 0.5000 1
Mg2 Mg 0.5000 0.5000 0.0000 1
Au4 Au 0.1364 0.3636 0.0000 1
```

Calculated values
- space group = P4/mbm, No. 127
- D(E_F) (states/eV/atom) = 0.46

***

Which structure is the most stable? The one labeled b.

***

a.
A geometry-optimized Mg3AsAu structure. Source: Alexandria via LeMat-Bulk, functional PBE.

```
data_Mg3AsAu
_symmetry_space_group_name_H-M 'P 1'
_symmetry_Int_Tables_number 1
_cell_length_a 5.0274
_cell_length_b 5.0274
_cell_length_c 5.0274
_cell_angle_alpha 90.00
_cell_angle_beta 90.00
_cell_angle_gamma 90.00
loop_
_symmetry_equiv_pos_as_xyz
'x,y,z'
loop_
_atom_site_label
_atom_site_type_symbol
_atom_site_fract_x
_atom_site_fract_y
_atom_site_fract_z
_atom_site_occupancy
Mg1 Mg 0.5000 0.0000 0.0000 1
Au1 Au 0.0000 0.0000 0.0000 1
Mg2 Mg 0.0000 0.5000 0.0000 1
As1 As 0.5000 0.5000 0.5000 1
Mg3 Mg 0.0000 0.0000 0.5000 1
```

Calculated values
- space group = Pm-3m, No. 221
- D(E_F) (states/eV/atom) = 0.43

***

b.
A geometry-optimized Mg3AsAu structure. Source: Alexandria via LeMat-Bulk, functional PBE.

```
data_Mg3AsAu
_symmetry_space_group_name_H-M 'P 1'
_symmetry_Int_Tables_number 1
_cell_length_a 4.9575
_cell_length_b 4.9575
_cell_length_c 4.9575
_cell_angle_alpha 90.00
_cell_angle_beta 90.00
_cell_angle_gamma 90.00
loop_
_symmetry_equiv_pos_as_xyz
'x,y,z'
loop_
_atom_site_label
_atom_site_type_symbol
_atom_site_fract_x
_atom_site_fract_y
_atom_site_fract_z
_atom_site_occupancy
Mg1 Mg 0.0000 0.0000 0.5000 1
Mg2 Mg 0.5000 0.0000 0.0000 1
As1 As 0.0000 0.0000 0.0000 1
Mg3 Mg 0.0000 0.5000 0.0000 1
Au1 Au 0.5000 0.5000 0.5000 1
```

Calculated values
- space group = Pm-3m, No. 221
- D(E_F) (states/eV/atom) = 0.40

***

Which structure is the most stable? The one labeled b.

***

a.
A geometry-optimized MgAsAu3 structure. Source: Alexandria via LeMat-Bulk, functional PBE.

```
data_MgAsAu3
_symmetry_space_group_name_H-M 'P 1'
_symmetry_Int_Tables_number 1
_cell_length_a 4.9541
_cell_length_b 4.9541
_cell_length_c 4.9541
_cell_angle_alpha 90.00
_cell_angle_beta 90.00
_cell_angle_gamma 90.00
loop_
_symmetry_equiv_pos_as_xyz
'x,y,z'
loop_
_atom_site_label
_atom_site_type_symbol
_atom_site_fract_x
_atom_site_fract_y
_atom_site_fract_z
_atom_site_occupancy
Au1 Au 0.5000 0.0000 0.0000 1
Au2 Au 0.0000 0.5000 0.0000 1
Mg1 Mg 0.5000 0.5000 0.5000 1
As1 As 0.0000 0.0000 0.0000 1
Au3 Au 0.0000 0.0000 0.5000 1
```

Calculated values
- space group = Pm-3m, No. 221
- D(E_F) (states/eV/atom) = 0.48

***

b.
A geometry-optimized MgAsAu3 structure. Source: Alexandria via LeMat-Bulk, functional PBE.

```
data_MgAsAu3
_symmetry_space_group_name_H-M 'P 1'
_symmetry_Int_Tables_number 1
_cell_length_a 4.8673
_cell_length_b 4.8673
_cell_length_c 4.8673
_cell_angle_alpha 90.00
_cell_angle_beta 90.00
_cell_angle_gamma 90.00
loop_
_symmetry_equiv_pos_as_xyz
'x,y,z'
loop_
_atom_site_label
_atom_site_type_symbol
_atom_site_fract_x
_atom_site_fract_y
_atom_site_fract_z
_atom_site_occupancy
As1 As 0.5000 0.5000 0.5000 1
Mg1 Mg 0.0000 0.0000 0.0000 1
Au1 Au 0.0000 0.5000 0.0000 1
Au2 Au 0.0000 0.0000 0.5000 1
Au3 Au 0.5000 0.0000 0.0000 1
```

Calculated values
- space group = Pm-3m, No. 221
- D(E_F) (states/eV/atom) = 0.69

***

Which structure is the most stable? The one labeled a.